# 1
! PmNdDy5Tm2, relaxed, DFT GGA-PBE; values from VASP
&SYSTEM
  ibrav = 0, nat = 18, ntyp = 4
/
ATOMIC_SPECIES
Pm 145.00 Pm.upf
Nd 144.24 Nd.upf
Dy 162.50 Dy.upf
Tm 168.93 Tm.upf
CELL_PARAMETERS angstrom
2.802 -9.927 0.000
2.802 9.927 0.000
0.000 0.000 10.572
ATOMIC_POSITIONS crystal
Pm 0.201 0.799 0.500
Pm 0.799 0.201 0.000
Nd 0.417 0.583 0.937
Nd 0.583 0.417 0.437
Dy 0.017 0.983 0.514
Dy 0.281 0.719 0.798
Dy 0.299 0.701 0.196
Dy 0.391 0.609 0.512
Dy 0.477 0.523 0.224
Dy 0.523 0.477 0.724
Dy 0.609 0.391 0.012
Dy 0.701 0.299 0.696
Dy 0.719 0.281 0.298
Dy 0.983 0.017 0.014
Tm 0.110 0.890 0.223
Tm 0.114 0.886 0.808
Tm 0.886 0.114 0.308
Tm 0.890 0.110 0.723
! Calculated volume   32.678 Å³ per atom
! Formation enthalpy at 0 K   161 meV/atom
! Space group   No. 36
! DOS at the Fermi energy   14.01 states/eV/f.u.
! Total energy   -4.447 eV/atom

***

# 2
! GaBiAs2Se, relaxed, DFT GGA-PBE; values from VASP
&SYSTEM
  ibrav = 0, nat = 5, ntyp = 4
/
ATOMIC_SPECIES
Ga 69.72 Ga.upf
Bi 208.98 Bi.upf
As 74.92 As.upf
Se 78.96 Se.upf
CELL_PARAMETERS angstrom
5.495 0.000 0.000
0.000 5.495 0.000
0.000 0.000 5.643
ATOMIC_POSITIONS crystal
Ga 0.000 0.000 0.000
Bi 0.500 0.500 0.500
As 0.000 0.500 0.500
As 0.500 0.000 0.500
Se 0.500 0.500 0.000
! Calculated volume   34.074 Å³ per atom
! Formation energy from raw total energies   3.910 eV per formula unit
! Space group   No. 123
! DOS at the Fermi energy   4.89 states/eV/f.u.
! Total energy   -3.156 eV/atom

***

# 3
! NaPrHo, relaxed, DFT GGA-PBE; values from VASP
&SYSTEM
  ibrav = 0, nat = 6, ntyp = 3
/
ATOMIC_SPECIES
Na 22.99 Na.upf
Pr 140.91 Pr.upf
Ho 164.93 Ho.upf
CELL_PARAMETERS angstrom
5.678 0.000 0.000
-2.839 4.917 0.000
0.000 0.000 7.236
ATOMIC_POSITIONS crystal
Na 0.333 0.667 0.000
Na 0.667 0.333 0.000
Pr 0.000 0.000 0.266
Pr 0.000 0.000 0.734
Ho 0.333 0.667 0.500
Ho 0.667 0.333 0.500
! Calculated volume   33.672 Å³ per atom
! Formation enthalpy at 0 K   163 meV/atom
! Space group   No. 164
! DOS at the Fermi energy   3.06 states/eV/f.u.
! Total energy   -3.396 eV/atom